(1)
! Pm3Sm3Tl | the Alexandria database | PBE-GGA | optimized geometry; values from VASP
&SYSTEM
  ibrav = 0, nat = 14, ntyp = 3
/
ATOMIC_SPECIES
Pm 145.00 Pm.upf
Sm 150.36 Sm.upf
Tl 204.38 Tl.upf
ATOMIC_POSITIONS angstrom
Pm -1.973 5.196 1.428
Pm 1.264 3.970 1.428
Pm 4.070 0.890 4.283
Pm 0.708 7.386 1.428
Pm 3.514 4.306 4.283
Pm 6.751 3.080 4.283
Sm -3.304 6.789 4.283
Sm 0.551 2.020 4.283
Sm 2.025 0.533 1.428
Sm 2.753 7.743 4.283
Sm 4.227 6.256 1.428
Sm 8.082 1.487 1.428
Tl 0.000 5.517 4.283
Tl 4.778 2.759 1.428
CELL_PARAMETERS angstrom
9.556 0.000 0.000
-4.778 8.276 0.000
0.000 0.000 5.710
! ΔE to the lowest computed polymorph: 0 meV per atom
! Symmetry: P6_3/m (176)
! DFT formation energy: -0.063 eV per atom

=====

(2)
! MnSiSb2 | the Alexandria database | PBE-GGA | optimized geometry; values from VASP
&SYSTEM
  ibrav = 0, nat = 8, ntyp = 3
/
ATOMIC_SPECIES
Mn 54.94 Mn.upf
Si 28.09 Si.upf
Sb 121.76 Sb.upf
ATOMIC_POSITIONS angstrom
Mn 0.000 0.000 0.000
Mn 0.000 2.995 2.938
Si 2.995 0.000 2.938
Si 0.000 0.000 5.875
Sb 4.493 1.363 -1.469
Sb 1.363 1.498 1.469
Sb -1.498 1.632 4.406
Sb 1.632 1.498 7.344
CELL_PARAMETERS angstrom
-2.995 2.995 5.875
2.995 -2.995 5.875
2.995 2.995 -5.875
! Formation energy from raw total energies: 0.59 eV per atom
! Symmetry: I-42d (122)

=====

(3)
! Tl2TcPb | the Alexandria database | PBE-GGA | optimized geometry; values from VASP
&SYSTEM
  ibrav = 0, nat = 4, ntyp = 3
/
ATOMIC_SPECIES
Tl 204.38 Tl.upf
Tc 98.00 Tc.upf
Pb 207.20 Pb.upf
ATOMIC_POSITIONS angstrom
Tl 0.000 0.000 0.000
Tl 1.679 2.682 0.000
Tc 0.000 2.682 2.740
Pb 1.679 0.000 2.740
CELL_PARAMETERS angstrom
3.358 0.000 0.000
0.000 5.364 0.000
0.000 0.000 5.480
! ΔE to the lowest computed polymorph: 297 meV per atom
! Symmetry: Pmmm (47)
! DFT formation energy: 0.732 eV per atom

=====

(4)
! LaSmCdBi | the Alexandria database | PBE-GGA | optimized geometry; values from VASP
&SYSTEM
  ibrav = 0, nat = 4, ntyp = 4
/
ATOMIC_SPECIES
La 138.91 La.upf
Sm 150.36 Sm.upf
Cd 112.41 Cd.upf
Bi 208.98 Bi.upf
ATOMIC_POSITIONS angstrom
La 0.000 0.000 0.000
Sm 3.925 3.925 3.925
Cd 1.962 1.962 1.962
Bi 5.887 5.887 5.887
CELL_PARAMETERS angstrom
0.000 3.925 3.925
3.925 0.000 3.925
3.925 3.925 0.000
! Symmetry: F-43m (216)
! DFT formation energy: -0.513 eV per atom

=====

(5)
! KHoGe2Cl8 | the Alexandria database | PBE-GGA | optimized geometry; values from VASP
&SYSTEM
  ibrav = 0, nat = 12, ntyp = 4
/
ATOMIC_SPECIES
K 39.10 K.upf
Ho 164.93 Ho.upf
Ge 72.64 Ge.upf
Cl 35.45 Cl.upf
ATOMIC_POSITIONS angstrom
K 0.000 0.000 0.000
Ho 0.004 0.258 4.448
Ge 3.147 3.206 2.340
Ge 3.712 4.191 6.555
Cl 1.766 5.740 2.627
Cl 1.653 2.359 4.092
Cl 2.155 6.323 6.396
Cl 1.948 2.473 0.525
Cl 4.911 4.924 8.370
Cl 4.705 1.074 2.499
Cl 5.206 5.038 4.804
Cl 5.093 1.657 6.268
CELL_PARAMETERS angstrom
6.317 0.000 0.000
0.534 6.882 0.000
0.009 0.515 8.895
! Formation energy from raw total energies: -1.48 eV per atom
! Symmetry: P-1 (2)

=====

(6)
! HAuSe | the Alexandria database | PBE-GGA | optimized geometry; values from VASP
&SYSTEM
  ibrav = 0, nat = 6, ntyp = 3
/
ATOMIC_SPECIES
H 1.01 H.upf
Au 196.97 Au.upf
Se 78.96 Se.upf
ATOMIC_POSITIONS angstrom
H 0.065 0.071 1.957
H 3.975 4.477 4.406
Au -0.242 2.308 0.000
Au 2.320 0.000 0.000
Se 1.057 1.173 1.773
Se 2.983 3.374 4.591
CELL_PARAMETERS angstrom
4.641 0.000 0.000
-0.483 4.616 0.000
-0.118 -0.068 6.364
! ΔE to the lowest computed polymorph: 19 meV per atom
! Symmetry: P-1 (2)

=====

(7)
! SrZrSe2 | the Alexandria database | PBE-GGA | optimized geometry; values from VASP
&SYSTEM
  ibrav = 0, nat = 4, ntyp = 3
/
ATOMIC_SPECIES
Sr 87.62 Sr.upf
Zr 91.22 Zr.upf
Se 78.96 Se.upf
ATOMIC_POSITIONS angstrom
Sr 0.000 0.000 0.000
Zr 2.616 0.000 7.495
Se 0.000 0.000 7.429
Se 2.616 0.000 4.483
CELL_PARAMETERS angstrom
5.232 0.000 0.000
0.000 1.917 5.170
0.000 -1.917 5.170
! Formation energy from raw total energies: -1.33 eV per atom
! ΔE to the lowest computed polymorph: 152 meV per atom
! Symmetry: Amm2 (38)

=====

(8)
! Tb2Th3Tc2 | the Alexandria database | PBE-GGA | optimized geometry; values from VASP
&SYSTEM
  ibrav = 0, nat = 7, ntyp = 3
/
ATOMIC_SPECIES
Tb 158.93 Tb.upf
Th 232.04 Th.upf
Tc 98.00 Tc.upf
ATOMIC_POSITIONS angstrom
Tb 0.763 0.000 2.487
Tb 7.327 0.000 5.527
Th 4.345 0.000 0.547
Th 4.045 0.000 4.007
Th 3.745 0.000 7.467
Tc -0.886 0.000 5.916
Tc 8.976 0.000 2.098
CELL_PARAMETERS angstrom
5.990 -1.984 0.000
5.990 1.984 0.000
-3.890 0.000 8.014
! Symmetry: C2/m (12)
! DFT formation energy: -0.123 eV per atom

=====

(9)
! Ca2HoCd12Ag3 | the Alexandria database | PBE-GGA | optimized geometry; values from VASP
&SYSTEM
  ibrav = 0, nat = 18, ntyp = 4
/
ATOMIC_SPECIES
Ca 40.08 Ca.upf
Ho 164.93 Ho.upf
Cd 112.41 Cd.upf
Ag 107.87 Ag.upf
ATOMIC_POSITIONS angstrom
Ca 0.000 0.000 1.756
Ca 0.000 0.000 19.651
Ho 0.000 0.000 10.703
Cd -2.840 -1.640 9.946
Cd 0.000 -2.152 8.446
Cd -1.864 1.076 8.446
Cd 0.000 -3.279 11.461
Cd -2.840 1.640 11.461
Cd -1.864 -1.076 12.961
Cd 1.864 1.076 8.446
Cd 2.840 -1.640 9.946
Cd 0.000 3.279 9.946
Cd 1.864 -1.076 12.961
Cd 0.000 2.152 12.961
Cd 2.840 1.640 11.461
Ag -2.229 -1.287 7.136
Ag -2.229 1.287 14.271
Ag 0.000 2.574 7.136
CELL_PARAMETERS angstrom
4.458 2.574 7.136
-4.458 2.574 7.136
0.000 -5.147 7.136
! Symmetry: R-3m (166)
! DFT formation energy: 0.074 eV per atom

=====

(10)
! YNbI2N | the Alexandria database | PBE-GGA | optimized geometry; values from VASP
&SYSTEM
  ibrav = 0, nat = 5, ntyp = 4
/
ATOMIC_SPECIES
Y 88.91 Y.upf
Nb 92.91 Nb.upf
I 126.90 I.upf
N 14.01 N.upf
ATOMIC_POSITIONS angstrom
Y 0.000 0.000 0.000
Nb 3.046 3.046 2.029
I 0.000 3.046 0.000
I 3.046 0.000 0.000
N 0.000 0.000 2.029
CELL_PARAMETERS angstrom
6.093 0.000 0.000
0.000 6.093 0.000
0.000 0.000 4.058
! Formation energy from raw total energies: 0.49 eV per atom
! ΔE to the lowest computed polymorph: 561 meV per atom
! Symmetry: P4/mmm (123)

=====

(11)
! Ba2DyPaS6 | the Alexandria database | PBE-GGA | optimized geometry; values from VASP
&SYSTEM
  ibrav = 0, nat = 20, ntyp = 4
/
ATOMIC_SPECIES
Ba 137.33 Ba.upf
Dy 162.50 Dy.upf
Pa 231.04 Pa.upf
S 32.06 S.upf
ATOMIC_POSITIONS angstrom
Ba -0.120 0.458 2.590
Ba -3.733 3.294 7.784
Ba 3.745 4.209 2.603
Ba 0.132 7.045 7.797
Dy -3.613 0.000 5.194
Dy 0.000 3.752 0.000
Pa 3.619 0.000 0.000
Pa 0.006 3.752 5.194
S -5.724 1.508 9.929
S -2.111 2.244 4.735
S -5.049 5.322 9.914
S -1.437 5.932 4.720
S -2.995 0.152 7.830
S 0.618 3.600 2.636
S -0.606 3.903 7.751
S 3.007 7.351 2.557
S 1.448 1.571 5.667
S 5.061 2.181 0.473
S 2.123 5.259 5.652
S 5.736 5.995 0.459
CELL_PARAMETERS angstrom
7.238 0.000 0.000
0.000 7.503 0.000
-7.226 0.000 10.387
! Formation energy from raw total energies: -1.99 eV per atom
! Symmetry: P2_1/c (14)

=====

(12)
! CuSiNi | the Alexandria database | PBE-GGA | optimized geometry; values from VASP
&SYSTEM
  ibrav = 0, nat = 6, ntyp = 3
/
ATOMIC_SPECIES
Cu 63.55 Cu.upf
Si 28.09 Si.upf
Ni 58.69 Ni.upf
ATOMIC_POSITIONS angstrom
Cu 0.000 0.000 0.000
Cu 4.471 0.000 4.206
Si -0.264 0.000 2.686
Si 2.316 0.000 0.692
Ni 2.151 0.000 3.015
Ni 4.528 0.000 1.645
CELL_PARAMETERS angstrom
3.819 -1.824 0.000
3.819 1.824 0.000
-0.900 0.000 5.041
! Formation energy from raw total energies: -0.25 eV per atom
! Symmetry: Cm (8)

=====

(13)
! Ba3Rh2O6 | the Alexandria database | PBE-GGA | optimized geometry; values from VASP
&SYSTEM
  ibrav = 0, nat = 11, ntyp = 3
/
ATOMIC_SPECIES
Ba 137.33 Ba.upf
Rh 102.91 Rh.upf
O 16.00 O.upf
ATOMIC_POSITIONS angstrom
Ba 0.000 0.000 0.000
Ba 0.000 0.000 3.918
Ba 0.000 0.000 17.747
Rh 0.000 0.000 8.618
Rh 0.000 0.000 13.048
O 2.043 0.000 1.868
O 0.000 0.000 6.581
O 2.043 0.000 8.965
O 0.000 2.043 1.868
O 0.000 0.000 15.085
O 0.000 2.043 8.965
CELL_PARAMETERS angstrom
-2.043 2.043 10.833
2.043 -2.043 10.833
2.043 2.043 -10.833
! Formation energy from raw total energies: -1.71 eV per atom
! Symmetry: I4/mmm (139)

=====

(14)
! Ce5HoPb5 | the Alexandria database | PBE-GGA | optimized geometry; values from VASP
&SYSTEM
  ibrav = 0, nat = 11, ntyp = 3
/
ATOMIC_SPECIES
Ce 140.12 Ce.upf
Ho 164.93 Ho.upf
Pb 207.20 Pb.upf
ATOMIC_POSITIONS angstrom
Ce 0.000 0.000 0.000
Ce 4.390 0.000 1.388
Ce 3.041 0.000 5.626
Ce 8.714 0.000 2.772
Ce 7.365 0.000 7.010
Ho -1.350 0.000 4.199
Pb 0.135 0.000 6.995
Pb 1.512 0.000 2.795
Pb 5.878 0.000 4.199
Pb 10.243 0.000 5.603
Pb 11.621 0.000 1.403
CELL_PARAMETERS angstrom
7.228 -3.199 0.000
7.228 3.199 0.000
-2.701 0.000 8.398
! Symmetry: C2/m (12)
! DFT formation energy: -0.166 eV per atom

=====

(15)
! ErGa3CuPd | the Alexandria database | PBE-GGA | optimized geometry; values from VASP
&SYSTEM
  ibrav = 0, nat = 12, ntyp = 4
/
ATOMIC_SPECIES
Er 167.26 Er.upf
Ga 69.72 Ga.upf
Cu 63.55 Cu.upf
Pd 106.42 Pd.upf
ATOMIC_POSITIONS angstrom
Er 2.954 3.617 4.416
Er 2.954 -3.617 1.472
Ga 1.251 0.000 0.000
Ga 1.251 0.000 2.944
Ga 2.954 1.751 1.472
Ga 2.954 -1.751 4.416
Ga 4.657 0.000 0.000
Ga 4.657 0.000 2.944
Cu 2.954 0.939 4.416
Cu 2.954 -0.939 1.472
Pd 2.954 4.293 1.472
Pd 2.954 -4.293 4.416
CELL_PARAMETERS angstrom
2.954 -6.200 0.000
2.954 6.200 0.000
0.000 0.000 5.888
! Symmetry: Cmcm (63)
! DFT formation energy: -0.358 eV per atom

=====

(16)
! Li3InBi | the Alexandria database | PBE-GGA | optimized geometry; values from VASP
&SYSTEM
  ibrav = 0, nat = 10, ntyp = 3
/
ATOMIC_SPECIES
Li 6.94 Li.upf
In 114.82 In.upf
Bi 208.98 Bi.upf
ATOMIC_POSITIONS angstrom
Li -1.475 -0.852 13.094
Li 0.000 -1.703 9.960
Li -1.475 0.852 9.960
Li 1.475 -0.852 13.094
Li 0.000 1.703 13.094
Li 1.475 0.852 9.961
In 0.000 0.000 7.594
In 0.000 0.000 15.460
Bi 0.000 0.000 4.652
Bi 0.000 0.000 18.403
CELL_PARAMETERS angstrom
2.986 1.724 7.685
-2.986 1.724 7.685
0.000 -3.448 7.685
! ΔE to the lowest computed polymorph: 158 meV per atom
! Symmetry: R-3m (166)
! DFT formation energy: -0.204 eV per atom

=====

(17)
! LaHI2O | the Alexandria database | PBE-GGA | optimized geometry; values from VASP
&SYSTEM
  ibrav = 0, nat = 5, ntyp = 4
/
ATOMIC_SPECIES
La 138.91 La.upf
H 1.01 H.upf
I 126.90 I.upf
O 16.00 O.upf
ATOMIC_POSITIONS angstrom
La 0.000 0.000 0.000
H 2.726 2.726 1.830
I 0.000 2.726 1.830
I 2.726 0.000 1.830
O 2.726 2.726 0.000
CELL_PARAMETERS angstrom
5.451 0.000 0.000
0.000 5.451 0.000
0.000 0.000 3.661
! ΔE to the lowest computed polymorph: 566 meV per atom
! Symmetry: P4/mmm (123)

=====

(18)
! Er8Co3Pd2 | the Alexandria database | PBE-GGA | optimized geometry; values from VASP
&SYSTEM
  ibrav = 0, nat = 13, ntyp = 3
/
ATOMIC_SPECIES
Er 167.26 Er.upf
Co 58.93 Co.upf
Pd 106.42 Pd.upf
ATOMIC_POSITIONS angstrom
Er -0.141 0.000 2.988
Er -1.416 2.343 6.780
Er 1.228 2.343 4.953
Er 2.821 0.000 0.920
Er 2.569 0.000 6.873
Er 4.161 2.343 2.840
Er 6.806 2.343 1.013
Er 5.531 0.000 4.805
Co -0.092 0.000 5.869
Co 4.153 2.343 0.000
Co 5.482 0.000 1.924
Pd 1.329 2.343 1.959
Pd 4.060 2.343 5.834
CELL_PARAMETERS angstrom
8.307 0.000 0.000
0.000 4.686 0.000
-2.917 0.000 7.793
! Symmetry: P2/m (10)
! DFT formation energy: -0.352 eV per atom

=====

(19)
! LaScZnSi | the Alexandria database | PBE-GGA | optimized geometry; values from VASP
&SYSTEM
  ibrav = 0, nat = 4, ntyp = 4
/
ATOMIC_SPECIES
La 138.91 La.upf
Sc 44.96 Sc.upf
Zn 65.41 Zn.upf
Si 28.09 Si.upf
ATOMIC_POSITIONS angstrom
La 0.000 0.000 0.000
Sc 3.525 3.525 3.525
Zn 1.762 1.762 1.762
Si 5.287 5.287 5.287
CELL_PARAMETERS angstrom
0.000 3.525 3.525
3.525 0.000 3.525
3.525 3.525 0.000
! Formation energy from raw total energies: -0.43 eV per atom
! Symmetry: F-43m (216)

=====

(20)
! Ti2CoH | the Alexandria database | PBE-GGA | optimized geometry; values from VASP
&SYSTEM
  ibrav = 0, nat = 4, ntyp = 3
/
ATOMIC_SPECIES
Ti 47.87 Ti.upf
Co 58.93 Co.upf
H 1.01 H.upf
ATOMIC_POSITIONS angstrom
Ti 0.000 0.000 1.314
Ti 0.000 0.000 4.614
Co 1.377 1.377 2.964
H 1.377 1.377 0.000
CELL_PARAMETERS angstrom
2.754 0.000 0.000
0.000 2.754 0.000
0.000 0.000 5.928
! Symmetry: P4/mmm (123)
! Total energy: -6.608 eV per atom

=====

(21)
! Ni2Os | the Alexandria database | PBE-GGA | optimized geometry; values from VASP
&SYSTEM
  ibrav = 0, nat = 3, ntyp = 2
/
ATOMIC_SPECIES
Ni 58.69 Ni.upf
Os 190.23 Os.upf
ATOMIC_POSITIONS angstrom
Ni 0.000 0.000 1.777
Ni 0.000 0.000 8.849
Os 0.000 0.000 5.313
CELL_PARAMETERS angstrom
-1.310 1.310 5.313
1.310 -1.310 5.313
1.310 1.310 -5.313
! ΔE to the lowest computed polymorph: 68 meV per atom
! Symmetry: I4/mmm (139)
! DFT formation energy: 0.132 eV per atom

=====

(22)
! Rb2CrBr4 | the Alexandria database | PBE-GGA | optimized geometry; values from VASP
&SYSTEM
  ibrav = 0, nat = 7, ntyp = 3
/
ATOMIC_SPECIES
Rb 85.47 Rb.upf
Cr 52.00 Cr.upf
Br 79.90 Br.upf
ATOMIC_POSITIONS angstrom
Rb 0.000 0.000 2.361
Rb 0.000 0.000 14.581
Cr 0.000 0.000 8.471
Br 2.683 0.000 0.000
Br 0.000 0.000 5.858
Br 0.000 2.683 0.000
Br 0.000 0.000 11.084
CELL_PARAMETERS angstrom
-2.683 2.683 8.471
2.683 -2.683 8.471
2.683 2.683 -8.471
! Formation energy from raw total energies: -1.29 eV per atom
! Symmetry: I4/mmm (139)

=====

(23)
! Sc3TlSe4 | the Alexandria database | PBE-GGA | optimized geometry; values from VASP
&SYSTEM
  ibrav = 0, nat = 16, ntyp = 3
/
ATOMIC_SPECIES
Sc 44.96 Sc.upf
Tl 204.38 Tl.upf
Se 78.96 Se.upf
ATOMIC_POSITIONS angstrom
Sc 0.000 0.000 0.000
Sc 0.000 0.000 14.365
Sc 0.000 2.245 3.187
Sc 0.000 2.245 11.177
Sc 1.944 1.122 17.552
Sc 1.944 1.122 25.542
Tl 0.000 2.245 21.547
Tl 1.944 1.122 7.182
Se 0.000 0.000 4.693
Se 0.000 0.000 9.672
Se 0.000 0.000 19.057
Se 0.000 0.000 24.037
Se 0.000 2.245 15.943
Se 0.000 2.245 27.151
Se 1.944 1.122 1.578
Se 1.944 1.122 12.786
CELL_PARAMETERS angstrom
3.888 0.000 0.000
-1.944 3.367 0.000
0.000 0.000 28.729
! Formation energy from raw total energies: -1.43 eV per atom
! Symmetry: P6_3/mmc (194)